# PBE Tm2Ag4Te5, optimized geometry
data_Tm2Ag4Te5
_cell_length_a 19.267
_cell_length_b 19.267
_cell_length_c 19.267
_cell_angle_alpha 13.21
_cell_angle_beta 13.21
_cell_angle_gamma 13.21
_space_group_name_H-M_alt 'P 1'
_space_group_IT_number 1
loop_
_space_group_symop_operation_xyz
'x,y,z'
loop_
_atom_site_label
_atom_site_type_symbol
_atom_site_fract_x
_atom_site_fract_y
_atom_site_fract_z
_atom_site_occupancy
Tm1 Tm 0.136 0.136 0.136 1
Tm2 Tm 0.864 0.864 0.864 1
Ag1 Ag 0.316 0.316 0.316 1
Ag2 Ag 0.416 0.416 0.416 1
Ag3 Ag 0.584 0.584 0.584 1
Ag4 Ag 0.684 0.684 0.684 1
Te1 Te 0.227 0.227 0.227 1
Te2 Te 0.368 0.368 0.368 1
Te3 Te 0.500 0.500 0.500 1
Te4 Te 0.632 0.632 0.632 1
Te5 Te 0.773 0.773 0.773 1
# Formation energy from raw total energies   -0.4940 eV per atom
# Magnetic moment   0.0 μB/f.u.
# Symmetry   R-3m, No. 166
# DOS at the Fermi energy   5.513 states/eV/f.u.

=====

# PBE Tm5AgTe8, optimized geometry
data_Tm5AgTe8
_cell_length_a 8.897
_cell_length_b 8.897
_cell_length_c 8.897
_cell_angle_alpha 60.00
_cell_angle_beta 60.00
_cell_angle_gamma 60.00
_space_group_name_H-M_alt 'P 1'
_space_group_IT_number 1
loop_
_space_group_symop_operation_xyz
'x,y,z'
loop_
_atom_site_label
_atom_site_type_symbol
_atom_site_fract_x
_atom_site_fract_y
_atom_site_fract_z
_atom_site_occupancy
Tm1 Tm 0.000 0.000 0.000 1
Tm2 Tm 0.142 0.619 0.619 1
Tm3 Tm 0.619 0.142 0.619 1
Tm4 Tm 0.619 0.619 0.142 1
Tm5 Tm 0.619 0.619 0.619 1
Ag1 Ag 0.250 0.250 0.250 1
Te1 Te 0.380 0.380 0.380 1
Te2 Te 0.380 0.380 0.861 1
Te3 Te 0.380 0.861 0.380 1
Te4 Te 0.402 0.866 0.866 1
Te5 Te 0.861 0.380 0.380 1
Te6 Te 0.866 0.402 0.866 1
Te7 Te 0.866 0.866 0.402 1
Te8 Te 0.866 0.866 0.866 1
# Formation energy from raw total energies   -1.1758 eV per atom
# Magnetic moment   0.0 μB/f.u.
# Symmetry   F-43m, No. 216

=====

# PBE Tm2AgTe, optimized geometry
data_Tm2AgTe
_cell_length_a 7.893
_cell_length_b 7.893
_cell_length_c 7.893
_cell_angle_alpha 30.01
_cell_angle_beta 30.01
_cell_angle_gamma 30.01
_space_group_name_H-M_alt 'P 1'
_space_group_IT_number 1
loop_
_space_group_symop_operation_xyz
'x,y,z'
loop_
_atom_site_label
_atom_site_type_symbol
_atom_site_fract_x
_atom_site_fract_y
_atom_site_fract_z
_atom_site_occupancy
Tm1 Tm 0.245 0.245 0.245 1
Tm2 Tm 0.755 0.755 0.755 1
Ag1 Ag 0.500 0.500 0.500 1
Te1 Te 0.000 0.000 0.000 1
# Formation energy from raw total energies   -0.6709 eV per atom
# Energy relative to the lowest polymorph listed for this composition   84.5 meV/atom
# Magnetic moment   0.0 μB/f.u.
# Symmetry   R-3m, No. 166
# DOS at the Fermi energy   3.054 states/eV/f.u.

=====

# PBE Tm6AgTe5, optimized geometry
data_Tm6AgTe5
_cell_length_a 7.458
_cell_length_b 7.458
_cell_length_c 7.452
_cell_angle_alpha 99.60
_cell_angle_beta 99.60
_cell_angle_gamma 119.88
_space_group_name_H-M_alt 'P 1'
_space_group_IT_number 1
loop_
_space_group_symop_operation_xyz
'x,y,z'
loop_
_atom_site_label
_atom_site_type_symbol
_atom_site_fract_x
_atom_site_fract_y
_atom_site_fract_z
_atom_site_occupancy
Tm1 Tm 0.075 0.386 0.731 1
Tm2 Tm 0.227 0.227 0.257 1
Tm3 Tm 0.386 0.075 0.731 1
Tm4 Tm 0.614 0.925 0.269 1
Tm5 Tm 0.773 0.773 0.743 1
Tm6 Tm 0.925 0.614 0.269 1
Ag1 Ag 0.000 0.000 0.500 1
Te1 Te 0.179 0.821 0.000 1
Te2 Te 0.337 0.663 0.500 1
Te3 Te 0.500 0.500 0.000 1
Te4 Te 0.663 0.337 0.500 1
Te5 Te 0.821 0.179 0.000 1
# Formation energy from raw total energies   -1.0513 eV per atom
# Magnetic moment   0.0 μB/f.u.
# Symmetry   C2/m, No. 12
# DOS at the Fermi energy   4.344 states/eV/f.u.

=====

# PBE Tm4AgTe3, optimized geometry
data_Tm4AgTe3
_cell_length_a 7.523
_cell_length_b 7.523
_cell_length_c 4.141
_cell_angle_alpha 90.00
_cell_angle_beta 90.00
_cell_angle_gamma 107.89
_space_group_name_H-M_alt 'P 1'
_space_group_IT_number 1
loop_
_space_group_symop_operation_xyz
'x,y,z'
loop_
_atom_site_label
_atom_site_type_symbol
_atom_site_fract_x
_atom_site_fract_y
_atom_site_fract_z
_atom_site_occupancy
Tm1 Tm 0.230 0.230 0.500 1
Tm2 Tm 0.240 0.760 0.000 1
Tm3 Tm 0.760 0.240 0.000 1
Tm4 Tm 0.770 0.770 0.500 1
Ag1 Ag 0.000 0.000 0.000 1
Te1 Te 0.000 0.500 0.500 1
Te2 Te 0.500 0.000 0.500 1
Te3 Te 0.500 0.500 0.000 1
# Formation energy from raw total energies   -0.9474 eV per atom
# Magnetic moment   0.0 μB/f.u.
# Symmetry   Cmmm, No. 65
# DOS at the Fermi energy   4.333 states/eV/f.u.

=====

# PBE TmAgTe, optimized geometry
data_TmAgTe
_cell_length_a 5.942
_cell_length_b 5.942
_cell_length_c 7.512
_cell_angle_alpha 104.90
_cell_angle_beta 104.90
_cell_angle_gamma 38.66
_space_group_name_H-M_alt 'P 1'
_space_group_IT_number 1
loop_
_space_group_symop_operation_xyz
'x,y,z'
loop_
_atom_site_label
_atom_site_type_symbol
_atom_site_fract_x
_atom_site_fract_y
_atom_site_fract_z
_atom_site_occupancy
Tm1 Tm 0.144 0.144 0.158 1
Tm2 Tm 0.856 0.856 0.842 1
Ag1 Ag 0.343 0.343 0.525 1
Ag2 Ag 0.657 0.657 0.475 1
Te1 Te 0.420 0.420 0.176 1
Te2 Te 0.580 0.580 0.824 1
# Formation energy from raw total energies   -0.6221 eV per atom
# Magnetic moment   0.0 μB/f.u.
# Symmetry   C2/m, No. 12
# DOS at the Fermi energy   1.079 states/eV/f.u.

=====

Question: Which formula does entry 3 have?
Answer: Tm2AgTe